Entry 1:
## LaAgN2 (PBE)

Data for LaAgN2 after structural relaxation.

The space group is R-3m (No. 166, hexagonal axes) and the conventional cell measures 3.6099, 3.6099 and 18.7906 Å, with angles of 90.00, 90.00 and 120.00 degrees. The inequivalent atoms are La at (0.0000, 0.0000, 0.0000), Ag at (0.0000, 0.0000, 0.5000) and N at (0.0000, 0.0000, 0.1187).

As for the energy above the most stable polymorph in this dataset: 373 kJ/mol of formula units. For the energy, the calculation gives -5.047 eV/atom.

Entry 2:
## BaGa2GeMo (PBE)

Data for BaGa2GeMo after structural relaxation.

The space group is P4/mmm (No. 123) and the conventional cell measures 5.018, 5.018 and 4.937 Å, with angles of 90.00, 90.00 and 90.00 degrees. The inequivalent atoms are Ba at (0.000, 0.000, 0.000), Ga at (0.000, 0.500, 0.500), Ge at (0.500, 0.500, 0.000) and Mo at (0.500, 0.500, 0.500).

For the energy of formation from the pure elements, the calculation gives -304 meV/atom. For the energy, the calculation gives -4.989 eV/atom.

Entry 3:
## Li3CeNp3S8 (PBE)

Data for Li3CeNp3S8 after structural relaxation.

The space group is R-3m (No. 166, hexagonal axes) and the conventional cell measures 7.9695, 7.9695 and 18.3120 Å, with angles of 90.00, 90.00 and 120.00 degrees. The inequivalent atoms are Li at (0.0000, 0.5000, 0.0000), Ce at (0.0000, 0.0000, 0.5000), Np at (0.0000, 0.5000, 0.5000), S at (0.0000, 0.0000, 0.2491) and S at (0.0024, 0.5012, 0.7513).

For the energy, the calculation gives -7.011 eV/atom.

Entry 4:
## NaSbH2I (PBE)

Data for NaSbH2I after structural relaxation.

The space group is P4/mmm (No. 123) and the conventional cell measures 4.134, 4.134 and 7.748 Å, with angles of 90.00, 90.00 and 90.00 degrees. The inequivalent atoms are Na at (0.000, 0.000, 0.000), Sb at (0.500, 0.500, 0.000), H at (0.000, 0.500, 0.500) and I at (0.000, 0.000, 0.500).

For the energy, the calculation gives -2.200 eV/atom.

Entry 5:
## HfTiMoAu (PBE)

Data for HfTiMoAu after structural relaxation.

The space group is F-43m (No. 216) and the conventional cell measures 6.554, 6.554 and 6.554 Å, with angles of 90.00, 90.00 and 90.00 degrees. The inequivalent atoms are Hf at (0.000, 0.000, 0.000), Ti at (0.000, 0.000, 0.500), Mo at (0.250, 0.250, 0.750) and Au at (0.250, 0.250, 0.250).

For the energy of formation from the pure elements, the calculation gives -250 meV/atom. As for the energy above the most stable polymorph in this dataset: 40 kJ/mol of formula units. For the energy, the calculation gives -8.239 eV/atom.

Entry 6:
## Ti2FeRe (PBE)

Data for Ti2FeRe after structural relaxation.

The space group is I-42d (No. 122) and the conventional cell measures 6.743, 6.743 and 5.261 Å, with angles of 90.00, 90.00 and 90.00 degrees. The inequivalent atoms are Ti at (0.224, 0.250, 0.125), Fe at (0.000, 0.000, 0.000) and Re at (0.000, 0.000, 0.500).

For the energy of formation from the pure elements, the calculation gives 288 meV/atom. For the energy, the calculation gives -8.887 eV/atom.

Entry 7:
## ScRe2Au (PBE)

Data for ScRe2Au after structural relaxation.

The space group is P4/mmm (No. 123) and the conventional cell measures 2.719, 2.719 and 9.038 Å, with angles of 90.00, 90.00 and 90.00 degrees. The inequivalent atoms are Sc at (0.000, 0.000, 0.000), Re at (0.500, 0.500, 0.252) and Au at (0.000, 0.000, 0.500).

For the energy of formation from the pure elements, the calculation gives 335 meV/atom. As for the energy above the most stable polymorph in this dataset: 177 kJ/mol of formula units. For the energy, the calculation gives -8.291 eV/atom.

Entry 8:
## SbPPb (PBE)

Data for SbPPb after structural relaxation.

The space group is F-43m (No. 216) and the conventional cell measures 7.076, 7.076 and 7.076 Å, with angles of 90.00, 90.00 and 90.00 degrees. The inequivalent atoms are Sb at (0.000, 0.000, 0.000), P at (0.250, 0.250, 0.750) and Pb at (0.250, 0.250, 0.250).

As for the energy above the most stable polymorph in this dataset: 137 kJ/mol of formula units. For the energy, the calculation gives -3.862 eV/atom.

Entry 9:
## CsRb2ZrHg (PBE)

Data for CsRb2ZrHg after structural relaxation.

The space group is P4/mmm (No. 123) and the conventional cell measures 7.068, 7.068 and 5.700 Å, with angles of 90.00, 90.00 and 90.00 degrees. The inequivalent atoms are Cs at (0.000, 0.000, 0.000), Rb at (0.000, 0.500, 0.500), Zr at (0.500, 0.500, 0.000) and Hg at (0.500, 0.500, 0.500).

For the energy of formation from the pure elements, the calculation gives 528 meV/atom. For the energy, the calculation gives -1.800 eV/atom.

Entry 10:
## Dy2Er8Pu (PBE)

Data for Dy2Er8Pu after structural relaxation.

The space group is C2/m (No. 12) and the conventional cell measures 16.249, 6.518 and 6.609 Å, with angles of 90.00, 101.66 and 90.00 degrees. The inequivalent atoms are Dy at (0.196, 0.000, 0.300), Er at (0.084, 0.261, 0.897), Er at (0.091, 0.500, 0.411), Er at (0.244, 0.000, 0.813) and Pu at (0.000, 0.000, 0.500).

For the energy of formation from the pure elements, the calculation gives 202 meV/atom. As for the energy above the most stable polymorph in this dataset: 81 kJ/mol of formula units. For the energy, the calculation gives -5.256 eV/atom.

Entry 11:
## Sm6HoTe8 (PBE)

Data for Sm6HoTe8 after structural relaxation.

The space group is Fm-3m (No. 225) and the conventional cell measures 12.513, 12.513 and 12.513 Å, with angles of 90.00, 90.00 and 90.00 degrees. The inequivalent atoms are Sm at (0.000, 0.250, 0.250), Ho at (0.000, 0.000, 0.000), Te at (0.000, 0.000, 0.251) and Te at (0.250, 0.250, 0.250).

For the energy, the calculation gives -5.291 eV/atom.

Entry 12:
## KPuSeCl (PBE)

Data for KPuSeCl after structural relaxation.

The space group is R3m (No. 160, hexagonal axes) and the conventional cell measures 4.1913, 4.1913 and 23.4586 Å, with angles of 90.00, 90.00 and 120.00 degrees. The inequivalent atoms are K at (0.0000, 0.0000, 0.0000), Pu at (0.0000, 0.0000, 0.1748), Se at (0.0000, 0.0000, 0.5752) and Cl at (0.0000, 0.0000, 0.7622).

For the energy, the calculation gives -6.667 eV/atom.

Entry 13:
## Mg2ZrAl2 (PBE)

Data for Mg2ZrAl2 after structural relaxation.

The space group is P4/mbm (No. 127) and the conventional cell measures 8.012, 8.012 and 3.051 Å, with angles of 90.00, 90.00 and 90.00 degrees. The inequivalent atoms are Mg at (0.125, 0.375, 0.000), Zr at (0.000, 0.000, 0.000) and Al at (0.174, 0.674, 0.500).

For the energy of formation from the pure elements, the calculation gives -6 meV/atom. As for the energy above the most stable polymorph in this dataset: 13 kJ/mol of formula units. For the energy, the calculation gives -3.851 eV/atom.

Entry 14:
## Ba2UIrO8 (PBE)

Data for Ba2UIrO8 after structural relaxation.

The space group is P-1 (No. 2) and the conventional cell measures 6.029, 6.391 and 6.579 Å, with angles of 76.29, 67.28 and 76.86 degrees. The inequivalent atoms are Ba at (0.117, 0.178, 0.167), U at (0.500, 0.500, 0.500), Ir at (0.500, 0.000, 0.500), O at (0.263, 0.481, 0.800), O at (0.291, 0.980, 0.796), O at (0.292, 0.829, 0.433) and O at (0.311, 0.291, 0.424).

For the energy, the calculation gives -7.582 eV/atom.

Entry 15:
## BaCa2Re (PBE)

Data for BaCa2Re after structural relaxation.

The space group is Immm (No. 71) and the conventional cell measures 3.548, 5.894 and 13.134 Å, with angles of 90.00, 90.00 and 90.00 degrees. The inequivalent atoms are Ba at (0.000, 0.000, 0.000), Ca at (0.000, 0.500, 0.182) and Re at (0.000, 0.000, 0.500).

For the energy of formation from the pure elements, the calculation gives 750 meV/atom. As for the energy above the most stable polymorph in this dataset: 14 kJ/mol of formula units. For the energy, the calculation gives -3.844 eV/atom.

Entry 16:
## PaCu3Pb4O12 (PBE)

Data for PaCu3Pb4O12 after structural relaxation.

The space group is Im-3m (No. 229) and the conventional cell measures 8.039, 8.039 and 8.039 Å, with angles of 90.00, 90.00 and 90.00 degrees. The inequivalent atoms are Pa at (0.000, 0.000, 0.000), Cu at (0.000, 0.000, 0.500), Pb at (0.250, 0.250, 0.250), O at (0.000, 0.000, 0.264) and O at (0.000, 0.250, 0.500).

For the energy, the calculation gives -5.882 eV/atom.

Entry 17:
## HgGeCl4 (PBE)

Data for HgGeCl4 after structural relaxation.

The space group is C2/c (No. 15) and the conventional cell measures 8.060, 18.752 and 6.377 Å, with angles of 90.00, 128.16 and 90.00 degrees. The inequivalent atoms are Hg at (0.000, 0.091, 0.250), Ge at (0.000, 0.402, 0.750), Cl at (0.210, 0.319, 0.741) and Cl at (0.234, 0.061, 0.722).

As for the energy above the most stable polymorph in this dataset: 53 kJ/mol of formula units. For the energy, the calculation gives -2.707 eV/atom.

Entry 18:
## TaCuAg2 (PBE)

Data for TaCuAg2 after structural relaxation.

The space group is I-42d (No. 122) and the conventional cell measures 7.335, 7.335 and 5.312 Å, with angles of 90.00, 90.00 and 90.00 degrees. The inequivalent atoms are Ta at (0.000, 0.000, 0.000), Cu at (0.000, 0.000, 0.500) and Ag at (0.223, 0.750, 0.625).

For the energy of formation from the pure elements, the calculation gives 813 meV/atom. As for the energy above the most stable polymorph in this dataset: 250 kJ/mol of formula units. For the energy, the calculation gives -4.599 eV/atom.

Entry 19:
## LiNiRh2 (PBE)

Data for LiNiRh2 after structural relaxation.

The space group is Pmm2 (No. 25) and the conventional cell measures 2.661, 3.808 and 5.104 Å, with angles of 90.00, 90.00 and 90.00 degrees. The inequivalent atoms are Li at (0.000, 0.000, 0.000), Ni at (0.500, 0.500, 0.240), Rh at (0.000, 0.000, 0.490) and Rh at (0.500, 0.500, 0.742).

For the energy of formation from the pure elements, the calculation gives -16 meV/atom. As for the energy above the most stable polymorph in this dataset: 18 kJ/mol of formula units. For the energy, the calculation gives -5.615 eV/atom.

Entry 20:
## Cu2Pt2Rh (PBE)

Data for Cu2Pt2Rh after structural relaxation.

The space group is P-3m1 (No. 164) and the conventional cell measures 2.7346, 2.7346 and 10.9182 Å, with angles of 90.00, 90.00 and 120.00 degrees. The inequivalent atoms are Cu at (0.3333, 0.6667, 0.4089), Pt at (0.3333, 0.6667, 0.7899) and Rh at (0.0000, 0.0000, 0.0000).

For the energy of formation from the pure elements, the calculation gives -39 meV/atom. As for the energy above the most stable polymorph in this dataset: 0 kJ/mol of formula units. For the energy, the calculation gives -5.564 eV/atom.